Rb2AgBiBr6 at its PBEsol-relaxed geometry, computed with SCAN.

Summary:
* symmetry: Fm-3m
* crystal system: cubic
* formation energy without anion corrections: -1.163 eV/atom

The structure in CIF format:
```
data_Rb2AgBiBr6
_space_group_name_H-M_alt 'P 1'
_space_group_IT_number 1
_space_group_name_Hall 'P 1'
_cell_length_a 7.875
_cell_length_b 7.875
_cell_length_c 7.875
_cell_angle_alpha 60.00
_cell_angle_beta 60.00
_cell_angle_gamma 60.00
loop_
_atom_site_label
_atom_site_type_symbol
_atom_site_fract_x
_atom_site_fract_y
_atom_site_fract_z
Rb1 Rb 0.250 0.250 0.250
Rb2 Rb 0.750 0.750 0.750
Ag1 Ag 0.000 0.000 0.000
Bi1 Bi 0.500 0.500 0.500
Br1 Br 0.246 0.246 0.754
Br2 Br 0.246 0.754 0.246
Br3 Br 0.246 0.754 0.754
Br4 Br 0.754 0.246 0.246
Br5 Br 0.754 0.246 0.754
Br6 Br 0.754 0.754 0.246
```

Ce2Ni3Ge5 at its PBEsol-relaxed geometry, computed with SCAN.

Summary:
* symmetry: Ibam
* formation enthalpy at 0 K: -0.720 eV per atom
* crystal system: orthorhombic

The structure in CIF format:
```
data_Ce2Ni3Ge5
_space_group_name_H-M_alt 'P 1'
_space_group_IT_number 1
_space_group_name_Hall 'P 1'
_cell_length_a 8.083
_cell_length_b 8.083
_cell_length_c 8.083
_cell_angle_alpha 107.23
_cell_angle_beta 88.24
_cell_angle_gamma 137.28
loop_
_atom_site_label
_atom_site_type_symbol
_atom_site_fract_x
_atom_site_fract_y
_atom_site_fract_z
Ce1 Ce 0.133 0.233 0.366
Ce2 Ce 0.367 0.733 0.100
Ce3 Ce 0.633 0.267 0.900
Ce4 Ce 0.867 0.767 0.634
Ni1 Ni 0.138 0.892 0.030
Ni2 Ni 0.250 0.750 0.500
Ni3 Ni 0.362 0.392 0.754
Ni4 Ni 0.638 0.608 0.246
Ni5 Ni 0.750 0.250 0.500
Ni6 Ni 0.862 0.108 0.970
Ge1 Ge 0.019 0.750 0.269
Ge2 Ge 0.100 0.657 0.756
Ge3 Ge 0.250 0.250 0.000
Ge4 Ge 0.400 0.157 0.557
Ge5 Ge 0.481 0.750 0.731
Ge6 Ge 0.519 0.250 0.269
Ge7 Ge 0.600 0.843 0.443
Ge8 Ge 0.750 0.750 0.000
Ge9 Ge 0.900 0.343 0.244
Ge10 Ge 0.981 0.250 0.731
```

GeRh2Cl at its PBEsol-relaxed geometry, computed with SCAN.

Summary:
* symmetry: Fm-3m
* crystal system: cubic
* formation energy without anion corrections: 0.173 eV/atom

The structure in CIF format:
```
data_GeRh2Cl
_space_group_name_H-M_alt 'P 1'
_space_group_IT_number 1
_space_group_name_Hall 'P 1'
_cell_length_a 4.323
_cell_length_b 4.323
_cell_length_c 4.323
_cell_angle_alpha 60.00
_cell_angle_beta 60.00
_cell_angle_gamma 60.00
loop_
_atom_site_label
_atom_site_type_symbol
_atom_site_fract_x
_atom_site_fract_y
_atom_site_fract_z
Ge1 Ge 0.000 0.000 0.000
Rh1 Rh 0.250 0.250 0.250
Rh2 Rh 0.750 0.750 0.750
Cl1 Cl 0.500 0.500 0.500
```

Mg2GaCu2 at its PBEsol-relaxed geometry, computed with SCAN.

Summary:
* symmetry: P4/mbm
* formation enthalpy at 0 K: -0.167 eV per atom
* crystal system: tetragonal

The structure in CIF format:
```
data_Mg2GaCu2
_space_group_name_H-M_alt 'P 1'
_space_group_IT_number 1
_space_group_name_Hall 'P 1'
_cell_length_a 6.351
_cell_length_b 6.351
_cell_length_c 3.927
_cell_angle_alpha 90.00
_cell_angle_beta 90.00
_cell_angle_gamma 90.00
loop_
_atom_site_label
_atom_site_type_symbol
_atom_site_fract_x
_atom_site_fract_y
_atom_site_fract_z
Mg1 Mg 0.167 0.333 0.000
Mg2 Mg 0.333 0.833 0.000
Mg3 Mg 0.667 0.167 0.000
Mg4 Mg 0.833 0.667 0.000
Ga1 Ga 0.000 0.000 0.500
Ga2 Ga 0.500 0.500 0.500
Cu1 Cu 0.136 0.636 0.500
Cu2 Cu 0.364 0.136 0.500
Cu3 Cu 0.636 0.864 0.500
Cu4 Cu 0.864 0.364 0.500
```

TaSeI2N at its PBEsol-relaxed geometry, computed with SCAN.

Summary:
* symmetry: P4/mmm
* crystal system: tetragonal
* formation energy without anion corrections: 1.012 eV/atom

The structure in CIF format:
```
data_TaSeI2N
_space_group_name_H-M_alt 'P 1'
_space_group_IT_number 1
_space_group_name_Hall 'P 1'
_cell_length_a 5.343
_cell_length_b 5.343
_cell_length_c 3.932
_cell_angle_alpha 90.00
_cell_angle_beta 90.00
_cell_angle_gamma 90.00
loop_
_atom_site_label
_atom_site_type_symbol
_atom_site_fract_x
_atom_site_fract_y
_atom_site_fract_z
Ta1 Ta 0.000 0.000 0.000
Se1 Se 0.500 0.500 0.000
I1 I 0.000 0.500 0.500
I2 I 0.500 0.000 0.500
N1 N 0.000 0.000 0.500
```

RbSnAs3 at its PBEsol-relaxed geometry, computed with SCAN.

Summary:
* symmetry: Pm-3m
* formation enthalpy at 0 K: 0.447 eV per atom
* crystal system: cubic

The structure in CIF format:
```
data_RbSnAs3
_space_group_name_H-M_alt 'P 1'
_space_group_IT_number 1
_space_group_name_Hall 'P 1'
_cell_length_a 5.333
_cell_length_b 5.333
_cell_length_c 5.333
_cell_angle_alpha 90.00
_cell_angle_beta 90.00
_cell_angle_gamma 90.00
loop_
_atom_site_label
_atom_site_type_symbol
_atom_site_fract_x
_atom_site_fract_y
_atom_site_fract_z
Rb1 Rb 0.000 0.000 0.000
Sn1 Sn 0.500 0.500 0.500
As1 As 0.000 0.500 0.500
As2 As 0.500 0.000 0.500
As3 As 0.500 0.500 0.000
```

Zr2TcTe at its PBEsol-relaxed geometry, computed with SCAN.

Summary:
* symmetry: Amm2
* crystal system: orthorhombic
* formation energy without anion corrections: -0.487 eV/atom

The structure in CIF format:
```
data_Zr2TcTe
_space_group_name_H-M_alt 'P 1'
_space_group_IT_number 1
_space_group_name_Hall 'P 1'
_cell_length_a 4.363
_cell_length_b 5.504
_cell_length_c 5.504
_cell_angle_alpha 37.16
_cell_angle_beta 90.00
_cell_angle_gamma 90.00
loop_
_atom_site_label
_atom_site_type_symbol
_atom_site_fract_x
_atom_site_fract_y
_atom_site_fract_z
Zr1 Zr 0.000 0.000 0.000
Zr2 Zr 0.500 0.302 0.302
Tc1 Tc 0.000 0.754 0.754
Te1 Te 0.500 0.580 0.580
```

GdGaO3 at its PBEsol-relaxed geometry, computed with SCAN.

Summary:
* symmetry: Pnma
* crystal system: orthorhombic
* formation energy without anion corrections: -2.928 eV/atom

The structure in CIF format:
```
data_GdGaO3
_space_group_name_H-M_alt 'P 1'
_space_group_IT_number 1
_space_group_name_Hall 'P 1'
_cell_length_a 5.546
_cell_length_b 7.604
_cell_length_c 5.304
_cell_angle_alpha 90.00
_cell_angle_beta 90.00
_cell_angle_gamma 90.00
loop_
_atom_site_label
_atom_site_type_symbol
_atom_site_fract_x
_atom_site_fract_y
_atom_site_fract_z
Gd1 Gd 0.063 0.250 0.017
Gd2 Gd 0.437 0.750 0.517
Gd3 Gd 0.563 0.250 0.483
Gd4 Gd 0.937 0.750 0.983
Ga1 Ga 0.000 0.000 0.500
Ga2 Ga 0.000 0.500 0.500
Ga3 Ga 0.500 0.000 0.000
Ga4 Ga 0.500 0.500 0.000
O1 O 0.031 0.750 0.399
O2 O 0.200 0.552 0.801
O3 O 0.200 0.948 0.801
O4 O 0.300 0.052 0.301
O5 O 0.300 0.448 0.301
O6 O 0.469 0.250 0.899
O7 O 0.531 0.750 0.101
O8 O 0.700 0.552 0.699
O9 O 0.700 0.948 0.699
O10 O 0.800 0.052 0.199
O11 O 0.800 0.448 0.199
O12 O 0.969 0.250 0.601
```

InRh2AuC at its PBEsol-relaxed geometry, computed with SCAN.

Summary:
* symmetry: P4/mmm
* formation enthalpy at 0 K: 0.243 eV per atom
* crystal system: tetragonal

The structure in CIF format:
```
data_InRh2AuC
_space_group_name_H-M_alt 'P 1'
_space_group_IT_number 1
_space_group_name_Hall 'P 1'
_cell_length_a 3.995
_cell_length_b 3.995
_cell_length_c 4.561
_cell_angle_alpha 90.00
_cell_angle_beta 90.00
_cell_angle_gamma 90.00
loop_
_atom_site_label
_atom_site_type_symbol
_atom_site_fract_x
_atom_site_fract_y
_atom_site_fract_z
In1 In 0.000 0.000 0.000
Rh1 Rh 0.000 0.500 0.500
Rh2 Rh 0.500 0.000 0.500
Au1 Au 0.500 0.500 0.000
C1 C 0.000 0.000 0.500
```

NaRe2SbBr at its PBEsol-relaxed geometry, computed with SCAN.

Summary:
* symmetry: P4/mmm
* crystal system: tetragonal
* formation energy without anion corrections: 1.692 eV/atom

The structure in CIF format:
```
data_NaRe2SbBr
_space_group_name_H-M_alt 'P 1'
_space_group_IT_number 1
_space_group_name_Hall 'P 1'
_cell_length_a 4.966
_cell_length_b 4.966
_cell_length_c 6.157
_cell_angle_alpha 90.00
_cell_angle_beta 90.00
_cell_angle_gamma 90.00
loop_
_atom_site_label
_atom_site_type_symbol
_atom_site_fract_x
_atom_site_fract_y
_atom_site_fract_z
Na1 Na 0.000 0.000 0.000
Re1 Re 0.000 0.500 0.500
Re2 Re 0.500 0.000 0.500
Sb1 Sb 0.500 0.500 0.500
Br1 Br 0.500 0.500 0.000
```

TiZnS2 at its PBEsol-relaxed geometry, computed with SCAN.

Summary:
* symmetry: Fm-3m
* distance to the lowest polymorph of the same formula: 0.429 eV/atom
* crystal system: cubic
* formation energy without anion corrections: -0.521 eV/atom

The structure in CIF format:
```
data_TiZnS2
_space_group_name_H-M_alt 'P 1'
_space_group_IT_number 1
_space_group_name_Hall 'P 1'
_cell_length_a 4.368
_cell_length_b 4.368
_cell_length_c 4.368
_cell_angle_alpha 60.00
_cell_angle_beta 60.00
_cell_angle_gamma 60.00
loop_
_atom_site_label
_atom_site_type_symbol
_atom_site_fract_x
_atom_site_fract_y
_atom_site_fract_z
Ti1 Ti 0.000 0.000 0.000
Zn1 Zn 0.500 0.500 0.500
S1 S 0.250 0.250 0.250
S2 S 0.750 0.750 0.750
```

NaEuSe2 at its PBEsol-relaxed geometry, computed with SCAN.

Summary:
* symmetry: P4/mmm
* crystal system: tetragonal
* formation energy without anion corrections: -1.573 eV/atom

The structure in CIF format:
```
data_NaEuSe2
_space_group_name_H-M_alt 'P 1'
_space_group_IT_number 1
_space_group_name_Hall 'P 1'
_cell_length_a 4.197
_cell_length_b 4.197
_cell_length_c 5.824
_cell_angle_alpha 90.00
_cell_angle_beta 90.00
_cell_angle_gamma 90.00
loop_
_atom_site_label
_atom_site_type_symbol
_atom_site_fract_x
_atom_site_fract_y
_atom_site_fract_z
Na1 Na 0.000 0.000 0.000
Eu1 Eu 0.500 0.500 0.500
Se1 Se 0.000 0.000 0.500
Se2 Se 0.500 0.500 0.000
```

| no. | energy (eV/cell) |
| --- | --- |
| 1 | -279.8 |
| 2 | -480.6 |
| 3 | -93.9 |
| 4 | -115.1 |
| 5 | -164.4 |
| 6 | -115.0 |
| 7 | -135.7 |
| 8 | -434.0 |
| 9 | -179.0 |
| 10 | -194.7 |
| 11 | -50.9 |
| 12 | -104.4 |